Li3PbAu: PBEsol geometry, SCAN.

a = 4.7519 Å, b = 4.7519 Å, c = 4.7519 Å
α = 90.00°, β = 90.00°, γ = 90.00°
Closest atoms and distances in Å follow each position.
Sites, in units of the cell vectors:
Pb 0.5000 0.5000 0.5000  12 Li 3.36
Li 0.5000 0.0000 0.0000  2 Au 2.38
Li 0.0000 0.5000 0.0000  2 Au 2.38
Au 0.0000 0.0000 0.0000  6 Li 2.38
Li 0.0000 0.0000 0.5000  2 Au 2.38

Calculated total energy = -30.70 eV/atom
Magnetic moment = 0.00 μB/cell
Energy of formation from the pure elements = -0.28 eV per atom